# Ba3Sr2NdTe6, relaxed, DFT PBE-GGA
data_Ba3Sr2NdTe6
_cell_length_a 21.052
_cell_length_b 4.800
_cell_length_c 9.689
_cell_angle_alpha 90.00
_cell_angle_beta 103.62
_cell_angle_gamma 90.00
_symmetry_space_group_name_H-M 'C 1 2/m 1'
_symmetry_Int_Tables_number 12
_symmetry_space_group_name_Hall '-C 2y'
loop_
_atom_site_label
_atom_site_type_symbol
_atom_site_fract_x
_atom_site_fract_y
_atom_site_fract_z
Ba1 Ba 0.000 0.000 0.000
Ba2 Ba 0.168 0.500 0.333
Sr1 Sr 0.166 0.500 0.834
Nd1 Nd 0.000 0.000 0.500
Te1 Te 0.002 0.500 0.731
Te2 Te 0.159 0.000 0.588
Te3 Te 0.170 0.000 0.075
# Energy relative to the elements, uncorrected = -1.692 eV/atom
# Final energy = -106.12 eV/cell